Record 1
The following is a PBE-GGA calculation of a relaxed structure of Li3ZnAu, from Alexandria.

Output
energy above the most stable polymorph in this dataset: 0.033 eV per atom
density: 5.97 g/cm³
V: 157.46 Å³ per cell
crystal system: monoclinic
density of states at the Fermi level: 2.201 states/eV per cell
DFT formation energy: -0.314 eV per atom

Unit cell a=4.7002 b=5.1780 c=6.8615 alpha=90.00 beta=109.45 gamma=90.00
Element x y z (fractional)
Li 0.0911 0.2500 0.0100
Li 0.2036 0.0008 0.4059
Li 0.2036 0.4992 0.4059
Li 0.7964 0.5008 0.5941
Li 0.7964 0.9992 0.5941
Li 0.9089 0.7500 0.9900
Zn 0.4656 0.2500 0.7959
Zn 0.5344 0.7500 0.2041
Au 0.3179 0.7500 0.7770
Au 0.6821 0.2500 0.2230


Record 2
The following is a PBE-GGA calculation of a relaxed structure of Tb2Mg3Ru2, from Alexandria.

Output
density: 6.38 g/cm³
V: 154.25 Å³ per cell
crystal system: monoclinic
density of states at the Fermi level: 4.557 states/eV per cell
DFT formation energy: -0.212 eV per atom

Unit cell a=5.5495 b=5.5495 c=6.9834 alpha=98.17 beta=98.17 gamma=46.55
Element x y z (fractional)
Tb 0.1301 0.1301 0.3689
Tb 0.8699 0.8699 0.6311
Mg 0.1824 0.1824 0.8605
Mg 0.5000 0.5000 0.0000
Mg 0.8176 0.8176 0.1395
Ru 0.4178 0.4178 0.3521
Ru 0.5822 0.5822 0.6479


Record 3
The following is a PBE-GGA calculation of a relaxed structure of RbLaP2Cl, from Alexandria.

Output
energy above the most stable polymorph in this dataset: 0.000 eV per atom
density: 2.93 g/cm³
V: 182.64 Å³ per cell
crystal system: tetragonal
density of states at the Fermi level: 4.771 states/eV per cell
formation energy from raw total energies: -0.5608 eV per atom

Unit cell a=5.6323 b=5.6323 c=5.7572 alpha=90.00 beta=90.00 gamma=90.00
Element x y z (fractional)
Rb 0.0000 0.0000 0.0000
La 0.5000 0.5000 0.5000
P 0.0000 0.5000 0.5000
P 0.5000 0.0000 0.5000
Cl 0.5000 0.5000 0.0000


Record 4
The following is a PBE-GGA calculation of a relaxed structure of TbCo2Tc, from Alexandria.

Output
density: 8.96 g/cm³
V: 69.48 Å³ per cell
crystal system: trigonal
density of states at the Fermi level: 5.665 states/eV per cell
DFT formation energy: -0.005 eV per atom

Unit cell a=5.3748 b=5.3748 c=5.3748 alpha=44.55 beta=44.55 gamma=44.55
Element x y z (fractional)
Tb 0.0000 0.0000 0.0000
Co 0.1980 0.1980 0.1980
Co 0.8020 0.8020 0.8020
Tc 0.5000 0.5000 0.5000